Entry 1:
Below is a relaxed Th2Al3Cu2 crystal, with properties calculated at the GGA-PBE level.

abc: 5.6020 5.6020 6.7550
angles: 109.64 109.64 45.42
Fractional coordinates of all 7 atoms:
Th (0.1542, 0.1542, 0.2808)
Th (0.8458, 0.8458, 0.7192)
Al (0.3953, 0.3953, 0.0723)
Al (0.5000, 0.5000, 0.5000)
Al (0.6047, 0.6047, 0.9277)
Cu (0.1466, 0.1466, 0.7555)
Cu (0.8534, 0.8534, 0.2445)

## Properties
mass density: 7.94 Mg/m³
formation enthalpy at 0 K: -0.35 eV per atom
space group: C2/m (12)

Entry 2:
Below is a relaxed ThAl7Cu5 crystal, with properties calculated at the GGA-PBE level.

abc: 6.7549 6.7549 6.7549
angles: 135.35 97.52 99.07
Fractional coordinates of all 13 atoms:
Th (0.0000, 0.0000, 0.0000)
Al (0.2072, 0.4944, 0.7128)
Al (0.2264, 0.7264, 0.5000)
Al (0.3522, 0.3522, 0.0000)
Al (0.3588, 0.0081, 0.3507)
Al (0.6514, 0.6514, 0.0000)
Al (0.6574, 0.0081, 0.6493)
Al (0.7817, 0.4944, 0.2872)
Cu (0.0010, 0.5002, 0.0037)
Cu (0.0010, 0.9973, 0.5008)
Cu (0.4964, 0.5002, 0.4992)
Cu (0.4964, 0.9973, 0.9963)
Cu (0.7730, 0.2730, 0.5000)

## Properties
mass density: 6.12 Mg/m³
formation enthalpy at 0 K: -0.31 eV per atom
space group: Imm2 (44)

Entry 3:
Below is a relaxed TmThAlCu crystal, with properties calculated at the GGA-PBE level.

abc: 5.0874 5.0874 5.0874
angles: 60.00 60.00 60.00
Fractional coordinates of all 4 atoms:
Tm (0.0000, 0.0000, 0.0000)
Th (0.5000, 0.5000, 0.5000)
Al (0.2500, 0.2500, 0.2500)
Cu (0.7500, 0.7500, 0.7500)

## Properties
mass density: 8.77 Mg/m³
formation enthalpy at 0 K: -0.19 eV per atom
space group: F-43m (216)

Entry 4:
Below is a relaxed Tm2Th2Al4Cu crystal, with properties calculated at the GGA-PBE level.

abc: 6.5799 6.5799 6.5799
angles: 116.55 116.55 96.09
Fractional coordinates of all 9 atoms:
Tm (0.1941, 0.1941, 0.0000)
Tm (0.8059, 0.8059, 0.0000)
Th (0.2500, 0.7500, 0.5000)
Th (0.7500, 0.2500, 0.5000)
Al (0.2590, 0.2590, 0.5179)
Al (0.2590, 0.7410, 0.0000)
Al (0.7410, 0.2590, 0.0000)
Al (0.7410, 0.7410, 0.4821)
Cu (0.5000, 0.5000, 0.0000)

## Properties
mass density: 7.67 Mg/m³
formation enthalpy at 0 K: -0.18 eV per atom
space group: I4/mmm (139)

Entry 5:
Below is a relaxed TmThAl2Cu2 crystal, with properties calculated at the GGA-PBE level.

abc: 4.3861 4.3861 7.3687
angles: 90.00 90.00 120.00
Fractional coordinates of all 6 atoms:
Tm (0.0000, 0.0000, 0.0000)
Th (0.0000, 0.0000, 0.5000)
Al (0.3333, 0.6667, 0.7698)
Al (0.6667, 0.3333, 0.2302)
Cu (0.3333, 0.6667, 0.2191)
Cu (0.6667, 0.3333, 0.7809)

## Properties
mass density: 7.87 Mg/m³
formation enthalpy at 0 K: -0.35 eV per atom
space group: P-3m1 (164)

Entry 6:
Below is a relaxed YThAlCu crystal, with properties calculated at the GGA-PBE level.

abc: 5.1261 5.1261 5.1261
angles: 60.00 60.00 60.00
Fractional coordinates of all 4 atoms:
Y (0.0000, 0.0000, 0.0000)
Th (0.5000, 0.5000, 0.5000)
Al (0.2500, 0.2500, 0.2500)
Cu (0.7500, 0.7500, 0.7500)

## Properties
mass density: 7.17 Mg/m³
formation enthalpy at 0 K: -0.19 eV per atom
space group: F-43m (216)

Entry 7:
Below is a relaxed ThAlZn4Cu2 crystal, with properties calculated at the GGA-PBE level.

abc: 9.2343 9.2343 9.2343
angles: 26.38 26.38 26.38
Fractional coordinates of all 8 atoms:
Th (0.0000, 0.0000, 0.0000)
Al (0.5000, 0.5000, 0.5000)
Zn (0.1238, 0.1238, 0.1238)
Zn (0.4025, 0.4025, 0.4025)
Zn (0.5975, 0.5975, 0.5975)
Zn (0.8762, 0.8762, 0.8762)
Cu (0.2376, 0.2376, 0.2376)
Cu (0.7624, 0.7624, 0.7624)

## Properties
mass density: 7.85 Mg/m³
formation enthalpy at 0 K: -0.11 eV per atom
space group: R-3m (166)

Entry 8:
Below is a relaxed ThAlZnCu2 crystal, with properties calculated at the GGA-PBE level.

abc: 6.1317 6.1317 6.1317
angles: 141.09 141.09 56.20
Fractional coordinates of all 5 atoms:
Th (0.0000, 0.0000, 0.0000)
Al (0.7500, 0.2500, 0.5000)
Zn (0.2500, 0.7500, 0.5000)
Cu (0.3871, 0.3871, 0.0000)
Cu (0.6129, 0.6129, 0.0000)

## Properties
mass density: 8.31 Mg/m³
formation enthalpy at 0 K: -0.29 eV per atom
space group: I-4m2 (119)

The size of the total moment results, record by record, are as follows: 0.0000; 0.0000; 0.0000; 0.0000; 0.0000; 0.0000; 0.0000; 0.0000 μB per atom.